No. 1
## Ca2HOs (PBE-GGA)

Data for Ca2HOs after structural relaxation.

Computed properties:
N(E_F) ... 8.30 states/eV/cell
Calculated volume ... 19.7 A^3/atom
Electronic total energy ... -33.2 eV per cell
Space-group type ... I-42d

Cell: 6.7195 6.7195 5.8967 Å, 55.27 55.27 90.00°
Site moments in Bohr magnetons follow the coordinates.
Fractional positions:
Ca  0.8750  0.7960  0.7500  -0.02
Ca  0.3750  0.4540  0.7500  -0.02
Ca  0.2040  0.6250  0.2500  -0.02
Ca  0.5460  0.1250  0.2500  -0.02
H  0.2500  0.7500  0.5000  0.00
H  0.5000  0.5000  0.0000  0.00
Os  0.7500  0.2500  0.5000  1.09
Os  0.0000  0.0000  0.0000  1.10

---

No. 2
## CaHOs3 (PBE-GGA)

Data for CaHOs3 after structural relaxation.

Computed properties:
N(E_F) ... 6.58 states/eV/cell
Distance to the lowest polymorph of the same formula ... 0 meV/atom
Calculated volume ... 13.5 A^3/atom
Electronic total energy ... -35.5 eV per cell
Space-group type ... Pm-3m

Cell: 4.0753 4.0753 4.0753 Å, 90.00 90.00 90.00°
Site moments in Bohr magnetons follow the coordinates.
Fractional positions:
Os  0.0000  0.0000  0.5000  0.07
Os  0.0000  0.5000  0.0000  0.10
Os  0.5000  0.0000  0.0000  0.06
Ca  0.5000  0.5000  0.5000  0.00
H  0.0000  0.0000  0.0000  0.00

---

No. 3
## CaHOs2Pb (PBE-GGA)

Data for CaHOs2Pb after structural relaxation.

Computed properties:
N(E_F) ... 4.43 states/eV/cell
Calculated volume ... 27.1 A^3/atom
Electronic total energy ... -17.2 eV per cell
Space-group type ... P4/mmm

Cell: 4.8072 5.8652 4.8072 Å, 90.00 90.00 90.00°
Site moments in Bohr magnetons follow the coordinates.
Fractional positions:
Os  0.0000  0.0000  0.5000  1.16
Os  0.5000  0.0000  0.0000  1.33
H  0.5000  0.5000  0.5000  0.17
Pb  0.0000  0.5000  0.0000  -0.12
Ca  0.0000  0.0000  0.0000  -0.07

---

No. 4
## Ca2HOsRu (PBE-GGA)

Data for Ca2HOsRu after structural relaxation.

Computed properties:
N(E_F) ... 3.51 states/eV/cell
Calculated volume ... 28.0 A^3/atom
Electronic total energy ... -23.3 eV per cell
Space-group type ... P4/mmm

Cell: 5.5383 4.5612 5.5383 Å, 90.00 90.00 90.00°
Site moments in Bohr magnetons follow the coordinates.
Fractional positions:
Ca  0.0000  0.0000  0.5000  0.00
Ca  0.5000  0.0000  0.0000  0.00
Ru  0.0000  0.0000  0.0000  0.14
H  0.5000  0.5000  0.5000  0.02
Os  0.0000  0.5000  0.0000  0.96

---

No. 5
## CaSiHOs2 (PBE-GGA)

Data for CaSiHOs2 after structural relaxation.

Computed properties:
N(E_F) ... 4.88 states/eV/cell
Calculated volume ... 15.6 A^3/atom
Electronic total energy ... -29.1 eV per cell
Space-group type ... P4/mmm

Cell: 4.7004 3.5285 4.7004 Å, 90.00 90.00 90.00°
Site moments in Bohr magnetons follow the coordinates.
Fractional positions:
Os  0.5000  0.0000  0.0000  0.26
Os  0.0000  0.0000  0.5000  0.26
H  0.0000  0.5000  0.0000  0.01
Si  0.0000  0.0000  0.0000  -0.01
Ca  0.5000  0.5000  0.5000  0.00

---

No. 6
## Sr2CaH6Os (PBE-GGA)

Data for Sr2CaH6Os after structural relaxation.

Computed properties:
N(E_F) ... 2.63 states/eV/cell
Calculated volume ... 15.7 A^3/atom
Electronic total energy ... -41.2 eV per cell
Space-group type ... P-3m1

Cell: 6.3081 5.3569 5.3569 Å, 120.00 90.00 90.00°
Fractional positions:
Sr  0.1661  0.3333  0.6667
Sr  0.8339  0.6667  0.3333
H  0.1650  0.8499  0.6998
H  0.1650  0.3002  0.1501
H  0.1650  0.8499  0.1501
H  0.8350  0.6998  0.8499
H  0.8350  0.1501  0.8499
H  0.8350  0.1501  0.3002
Ca  0.5000  0.0000  0.0000
Os  0.0000  0.0000  0.0000

---

No. 7
## CaPH2 (PBE-GGA)

Data for CaPH2 after structural relaxation.

Computed properties:
N(E_F) ... 3.29 states/eV/cell
Distance to the lowest polymorph of the same formula ... 0 meV/atom
Calculated volume ... 12.9 A^3/atom
Electronic total energy ... -28.5 eV per cell
Space-group type ... I-42d

Cell: 4.0726 4.0726 6.8393 Å, 72.68 72.68 90.00°
Fractional positions:
H  0.8750  0.6288  0.7500
H  0.3750  0.6212  0.7500
H  0.3788  0.1250  0.2500
H  0.3712  0.6250  0.2500
Ca  0.7500  0.2500  0.5000
Ca  0.0000  0.0000  0.0000
P  0.5000  0.5000  0.0000
P  0.2500  0.7500  0.5000

---

No. 8
## Ca4P2H (PBE-GGA)

Data for Ca4P2H after structural relaxation.

Computed properties:
N(E_F) ... 0.96 states/eV/cell
Distance to the lowest polymorph of the same formula ... 0 meV/atom
Calculated volume ... 26.3 A^3/atom
Electronic total energy ... -57.2 eV per cell
Space-group type ... C2/m

Cell: 4.3224 8.5478 10.7800 Å, 74.79 78.43 75.35°
Fractional positions:
Ca  0.5824  0.4924  0.3427
Ca  0.9529  0.8467  0.2474
Ca  0.2379  0.1454  0.3787
Ca  0.0471  0.1533  0.7526
Ca  0.1897  0.6893  0.9313
Ca  0.4176  0.5076  0.6573
Ca  0.7621  0.8546  0.6213
Ca  0.8103  0.3107  0.0687
H  0.1918  0.8806  0.7358
H  0.8082  0.1194  0.2642
P  0.1713  0.4747  0.1828
P  0.6125  0.2117  0.5634
P  0.8287  0.5253  0.8172
P  0.3875  0.7883  0.4366

---

No. 9
## Ca2P2H (PBE-GGA)

Data for Ca2P2H after structural relaxation.

Computed properties:
N(E_F) ... 4.15 states/eV/cell
Calculated volume ... 20.5 A^3/atom
Electronic total energy ... -43.4 eV per cell
Space-group type ... P4/mbm

Cell: 6.9307 6.9307 4.2623 Å, 90.00 90.00 90.00°
Site moments in Bohr magnetons follow the coordinates.
Fractional positions:
Ca  0.1866  0.3134  0.0000  0.01
Ca  0.3134  0.8134  0.0000  0.01
Ca  0.8134  0.6866  0.0000  0.01
Ca  0.6866  0.1866  0.0000  0.01
H  0.5000  0.5000  0.0000  0.01
H  0.0000  0.0000  0.0000  0.01
P  0.6095  0.8905  0.5000  0.07
P  0.8905  0.3905  0.5000  0.07
P  0.3905  0.1095  0.5000  0.07
P  0.1095  0.6095  0.5000  0.07

---

No. 10
## Ca3PH2 (PBE-GGA)

Data for Ca3PH2 after structural relaxation.

Computed properties:
N(E_F) ... 2.44 states/eV/cell
Calculated volume ... 20.9 A^3/atom
Electronic total energy ... -44.0 eV per cell
Space-group type ... C2/m

Cell: 6.3653 7.0676 6.4575 Å, 83.63 75.74 63.24°
Fractional positions:
P  0.6658  0.6684  0.0000
P  0.3342  0.3316  0.0000
Ca  0.6220  0.3298  0.2658
Ca  0.0482  0.3298  0.7342
Ca  0.9518  0.6702  0.2658
Ca  0.3780  0.6702  0.7342
Ca  0.2788  0.0000  0.2380
Ca  0.7212  0.0000  0.7620
H  0.2428  0.5143  0.5000
H  0.0000  0.0000  0.0000
H  0.5000  0.0000  0.5000
H  0.7572  0.4857  0.5000

---

No. 11
## CaP3H (PBE-GGA)

Data for CaP3H after structural relaxation.

Computed properties:
N(E_F) ... 2.28 states/eV/cell
Distance to the lowest polymorph of the same formula ... 0 meV/atom
Calculated volume ... 14.8 A^3/atom
Electronic total energy ... -20.7 eV per cell
Space-group type ... Pm-3m

Cell: 4.2021 4.2021 4.2021 Å, 90.00 90.00 90.00°
Fractional positions:
P  0.5000  0.0000  0.0000
P  0.0000  0.0000  0.5000
P  0.0000  0.5000  0.0000
Ca  0.5000  0.5000  0.5000
H  0.0000  0.0000  0.0000

---

No. 12
## CaPH (PBE-GGA)

Data for CaPH after structural relaxation.

Computed properties:
Distance to the lowest polymorph of the same formula ... 0 meV/atom
Calculated volume ... 17.7 A^3/atom
Electronic total energy ... -26.0 eV per cell
Space-group type ... P2_1/m

Cell: 4.4269 4.0421 6.7790 Å, 61.09 90.00 90.00°
Fractional positions:
H  0.1214  0.9005  0.5709
H  0.6214  0.2127  0.3563
Ca  0.6216  0.5567  0.7154
Ca  0.1215  0.5564  0.2120
P  0.6215  0.0512  0.2060
P  0.1215  0.0619  0.7213